Here is a geometry-optimized Zr2WAu structure from the Alexandria database. Energies are from GGA-PBEsol.

Calculated values
The energy relative to the elements is -0.138 eV/atom. As for the polymorph energy (0 for the lowest one): 0 meV per atom. As for the calculated total energy: -9.1159 eV/atom. Its space group is No. 65.

Cell lengths 3.5459, 4.6544, 8.9505 Å; angles 90.00, 90.00, 90.00 degrees
Atoms (fractional coordinates):
1 Zr 0.0000 0.0000 0.2438
2 Zr 0.0000 0.0000 0.7562
3 Zr 0.5000 0.5000 0.2438
4 Zr 0.5000 0.5000 0.7562
5 W 0.0000 0.5000 0.0000
6 W 0.5000 0.0000 0.0000
7 Au 0.0000 0.5000 0.5000
8 Au 0.5000 0.0000 0.5000